<one>
The following is a PBE-GGA calculation of an optimized crystal structure of TiWCl3, from Alexandria.

Cell and atoms, written as CIF:
```
data_TiWCl3
_space_group_name_H-M_alt 'P 1'
_space_group_IT_number 1
_cell_length_a 4.875
_cell_length_b 4.875
_cell_length_c 4.875
_cell_angle_alpha 90.00
_cell_angle_beta 90.00
_cell_angle_gamma 90.00
loop_
_space_group_symop_operation_xyz
'x,y,z'
loop_
_atom_site_label
_atom_site_fract_x
_atom_site_fract_y
_atom_site_fract_z
Cl1 0.000 0.000 0.500
Cl2 0.500 0.000 0.000
Cl3 0.000 0.500 0.000
W1 0.500 0.500 0.500
Ti1 0.000 0.000 0.000
```

## Properties
* DOS(E_F): 9.3 states/eV per cell
* SG: No. 221
* volume: 23.17 A^3/atom



<two>
The following is a PBE-GGA calculation of an optimized crystal structure of TiWCl3, from Alexandria.

Cell and atoms, written as CIF:
```
data_TiWCl3
_space_group_name_H-M_alt 'P 1'
_space_group_IT_number 1
_cell_length_a 4.872
_cell_length_b 4.872
_cell_length_c 4.872
_cell_angle_alpha 90.00
_cell_angle_beta 90.00
_cell_angle_gamma 90.00
loop_
_space_group_symop_operation_xyz
'x,y,z'
loop_
_atom_site_label
_atom_site_fract_x
_atom_site_fract_y
_atom_site_fract_z
Ti1 0.500 0.500 0.500
W1 0.000 0.000 0.000
Cl1 0.500 0.000 0.000
Cl2 0.000 0.000 0.500
Cl3 0.000 0.500 0.000
```

## Properties
* DOS(E_F): 7.7 states/eV per cell
* SG: No. 221
* volume: 23.12 A^3/atom



Which structure loses on stability? <two> does.



<one>
The following is a PBE-GGA calculation of an optimized crystal structure of YTi3Cl, from Alexandria.

Cell and atoms, written as CIF:
```
data_YTi3Cl
_space_group_name_H-M_alt 'P 1'
_space_group_IT_number 1
_cell_length_a 5.092
_cell_length_b 5.092
_cell_length_c 5.092
_cell_angle_alpha 90.00
_cell_angle_beta 90.00
_cell_angle_gamma 90.00
loop_
_space_group_symop_operation_xyz
'x,y,z'
loop_
_atom_site_label
_atom_site_fract_x
_atom_site_fract_y
_atom_site_fract_z
Ti1 0.000 0.500 0.000
Ti2 0.500 0.000 0.000
Ti3 0.000 0.000 0.500
Cl1 0.500 0.500 0.500
Y1 0.000 0.000 0.000
```

## Properties
* DOS(E_F): 8.1 states/eV per cell
* SG: No. 221
* volume: 26.40 A^3/atom



<two>
The following is a PBE-GGA calculation of an optimized crystal structure of YTi3Cl, from Alexandria.

Cell and atoms, written as CIF:
```
data_YTi3Cl
_space_group_name_H-M_alt 'P 1'
_space_group_IT_number 1
_cell_length_a 4.635
_cell_length_b 4.635
_cell_length_c 4.635
_cell_angle_alpha 90.00
_cell_angle_beta 90.00
_cell_angle_gamma 90.00
loop_
_space_group_symop_operation_xyz
'x,y,z'
loop_
_atom_site_label
_atom_site_fract_x
_atom_site_fract_y
_atom_site_fract_z
Cl1 0.000 0.000 0.000
Ti1 0.000 0.500 0.000
Ti2 0.500 0.000 0.000
Ti3 0.000 0.000 0.500
Y1 0.500 0.500 0.500
```

## Properties
* DOS(E_F): 7.8 states/eV per cell
* SG: No. 221
* volume: 19.91 A^3/atom



Which structure loses on stability? <one> does.



<one>
The following is a PBE-GGA calculation of an optimized crystal structure of YTiCl2, from Alexandria.

Cell and atoms, written as CIF:
```
data_YTiCl2
_space_group_name_H-M_alt 'P 1'
_space_group_IT_number 1
_cell_length_a 9.168
_cell_length_b 9.168
_cell_length_c 9.168
_cell_angle_alpha 21.16
_cell_angle_beta 21.16
_cell_angle_gamma 21.16
loop_
_space_group_symop_operation_xyz
'x,y,z'
loop_
_atom_site_label
_atom_site_fract_x
_atom_site_fract_y
_atom_site_fract_z
Cl1 0.908 0.908 0.908
Cl2 0.092 0.092 0.092
Y1 0.500 0.500 0.500
Ti1 0.000 0.000 0.000
```

## Properties
* DOS(E_F): 3.5 states/eV per cell
* SG: No. 166
* volume: 21.98 A^3/atom



<two>
The following is a PBE-GGA calculation of an optimized crystal structure of YTiCl2, from Alexandria.

Cell and atoms, written as CIF:
```
data_YTiCl2
_space_group_name_H-M_alt 'P 1'
_space_group_IT_number 1
_cell_length_a 4.601
_cell_length_b 4.601
_cell_length_c 9.106
_cell_angle_alpha 75.37
_cell_angle_beta 75.37
_cell_angle_gamma 90.00
loop_
_space_group_symop_operation_xyz
'x,y,z'
loop_
_atom_site_label
_atom_site_fract_x
_atom_site_fract_y
_atom_site_fract_z
Ti1 0.500 0.500 0.000
Ti2 0.250 0.750 0.500
Cl1 0.875 0.851 0.750
Cl2 0.601 0.125 0.250
Cl3 0.149 0.625 0.250
Cl4 0.375 0.399 0.750
Y1 0.750 0.250 0.500
Y2 0.000 0.000 0.000
```

## Properties
* DOS(E_F): 11.4 states/eV per cell
* SG: No. 122
* volume: 22.51 A^3/atom



Which structure loses on stability? <two> does.



<one>
The following is a PBE-GGA calculation of an optimized crystal structure of TiZnCl2, from Alexandria.

Cell and atoms, written as CIF:
```
data_TiZnCl2
_space_group_name_H-M_alt 'P 1'
_space_group_IT_number 1
_cell_length_a 7.444
_cell_length_b 7.444
_cell_length_c 7.062
_cell_angle_alpha 58.20
_cell_angle_beta 58.20
_cell_angle_gamma 90.00
loop_
_space_group_symop_operation_xyz
'x,y,z'
loop_
_atom_site_label
_atom_site_fract_x
_atom_site_fract_y
_atom_site_fract_z
Cl1 0.875 0.751 0.750
Cl2 0.501 0.125 0.250
Cl3 0.375 0.499 0.750
Cl4 0.249 0.625 0.250
Ti1 0.500 0.500 0.000
Ti2 0.250 0.750 0.500
Zn1 0.750 0.250 0.500
Zn2 0.000 0.000 0.000
```

## Properties
* DOS(E_F): 2.5 states/eV per cell
* SG: No. 122
* volume: 32.61 A^3/atom



<two>
The following is a PBE-GGA calculation of an optimized crystal structure of TiZnCl2, from Alexandria.

Cell and atoms, written as CIF:
```
data_TiZnCl2
_space_group_name_H-M_alt 'P 1'
_space_group_IT_number 1
_cell_length_a 10.016
_cell_length_b 10.016
_cell_length_c 10.016
_cell_angle_alpha 18.25
_cell_angle_beta 18.25
_cell_angle_gamma 18.25
loop_
_space_group_symop_operation_xyz
'x,y,z'
loop_
_atom_site_label
_atom_site_fract_x
_atom_site_fract_y
_atom_site_fract_z
Ti1 0.500 0.500 0.500
Cl1 0.889 0.889 0.889
Cl2 0.111 0.111 0.111
Zn1 0.000 0.000 0.000
```

## Properties
* DOS(E_F): 3.0 states/eV per cell
* SG: No. 166
* volume: 21.53 A^3/atom



Which structure loses on stability? <one> does.



<one>
The following is a PBE-GGA calculation of an optimized crystal structure of TiZn2Cl, from Alexandria.

Cell and atoms, written as CIF:
```
data_TiZn2Cl
_space_group_name_H-M_alt 'P 1'
_space_group_IT_number 1
_cell_length_a 4.830
_cell_length_b 4.830
_cell_length_c 4.830
_cell_angle_alpha 60.00
_cell_angle_beta 60.00
_cell_angle_gamma 60.00
loop_
_space_group_symop_operation_xyz
'x,y,z'
loop_
_atom_site_label
_atom_site_fract_x
_atom_site_fract_y
_atom_site_fract_z
Ti1 0.500 0.500 0.500
Cl1 0.000 0.000 0.000
Zn1 0.750 0.750 0.750
Zn2 0.250 0.250 0.250
```

## Properties
* DOS(E_F): 2.1 states/eV per cell
* SG: No. 225
* volume: 19.92 A^3/atom



<two>
The following is a PBE-GGA calculation of an optimized crystal structure of TiZn2Cl, from Alexandria.

Cell and atoms, written as CIF:
```
data_TiZn2Cl
_space_group_name_H-M_alt 'P 1'
_space_group_IT_number 1
_cell_length_a 7.861
_cell_length_b 7.861
_cell_length_c 6.096
_cell_angle_alpha 49.85
_cell_angle_beta 49.85
_cell_angle_gamma 90.00
loop_
_space_group_symop_operation_xyz
'x,y,z'
loop_
_atom_site_label
_atom_site_fract_x
_atom_site_fract_y
_atom_site_fract_z
Zn1 0.635 0.125 0.250
Zn2 0.375 0.365 0.750
Zn3 0.115 0.625 0.250
Zn4 0.875 0.885 0.750
Ti1 0.000 0.000 0.000
Ti2 0.750 0.250 0.500
Cl1 0.500 0.500 0.000
Cl2 0.250 0.750 0.500
```

## Properties
* DOS(E_F): 7.6 states/eV per cell
* SG: No. 122
* volume: 19.34 A^3/atom



Which structure loses on stability? <one> does.



<one>
The following is a PBE-GGA calculation of an optimized crystal structure of TiZn3Cl, from Alexandria.

Cell and atoms, written as CIF:
```
data_TiZn3Cl
_space_group_name_H-M_alt 'P 1'
_space_group_IT_number 1
_cell_length_a 4.825
_cell_length_b 4.825
_cell_length_c 4.825
_cell_angle_alpha 90.00
_cell_angle_beta 90.00
_cell_angle_gamma 90.00
loop_
_space_group_symop_operation_xyz
'x,y,z'
loop_
_atom_site_label
_atom_site_fract_x
_atom_site_fract_y
_atom_site_fract_z
Cl1 0.000 0.000 0.000
Ti1 0.500 0.500 0.500
Zn1 0.500 0.000 0.000
Zn2 0.000 0.000 0.500
Zn3 0.000 0.500 0.000
```

## Properties
* DOS(E_F): 4.0 states/eV per cell
* SG: No. 221
* volume: 22.46 A^3/atom



<two>
The following is a PBE-GGA calculation of an optimized crystal structure of TiZn3Cl, from Alexandria.

Cell and atoms, written as CIF:
```
data_TiZn3Cl
_space_group_name_H-M_alt 'P 1'
_space_group_IT_number 1
_cell_length_a 5.268
_cell_length_b 5.268
_cell_length_c 5.268
_cell_angle_alpha 90.00
_cell_angle_beta 90.00
_cell_angle_gamma 90.00
loop_
_space_group_symop_operation_xyz
'x,y,z'
loop_
_atom_site_label
_atom_site_fract_x
_atom_site_fract_y
_atom_site_fract_z
Ti1 0.000 0.000 0.000
Zn1 0.500 0.000 0.000
Zn2 0.000 0.500 0.000
Zn3 0.000 0.000 0.500
Cl1 0.500 0.500 0.500
```

## Properties
* DOS(E_F): 7.6 states/eV per cell
* SG: No. 221
* volume: 29.25 A^3/atom



Which structure loses on stability? <one> does.



<one>
The following is a PBE-GGA calculation of an optimized crystal structure of Tl2Cl, from Alexandria.

Cell and atoms, written as CIF:
```
data_Tl2Cl
_space_group_name_H-M_alt 'P 1'
_space_group_IT_number 1
_cell_length_a 6.521
_cell_length_b 6.521
_cell_length_c 6.521
_cell_angle_alpha 60.00
_cell_angle_beta 60.00
_cell_angle_gamma 60.00
loop_
_space_group_symop_operation_xyz
'x,y,z'
loop_
_atom_site_label
_atom_site_fract_x
_atom_site_fract_y
_atom_site_fract_z
Tl1 0.125 0.125 0.125
Tl2 0.125 0.625 0.125
Tl3 0.125 0.125 0.625
Tl4 0.625 0.125 0.125
Cl1 0.500 0.500 0.500
Cl2 0.750 0.750 0.750
```

## Properties
* DOS(E_F): 2.6 states/eV per cell
* SG: No. 227
* volume: 32.68 A^3/atom



<two>
The following is a PBE-GGA calculation of an optimized crystal structure of Tl2Cl, from Alexandria.

Cell and atoms, written as CIF:
```
data_Tl2Cl
_space_group_name_H-M_alt 'P 1'
_space_group_IT_number 1
_cell_length_a 6.210
_cell_length_b 6.210
_cell_length_c 6.210
_cell_angle_alpha 142.38
_cell_angle_beta 142.15
_cell_angle_gamma 54.43
loop_
_space_group_symop_operation_xyz
'x,y,z'
loop_
_atom_site_label
_atom_site_fract_x
_atom_site_fract_y
_atom_site_fract_z
Tl1 0.660 0.660 0.000
Tl2 0.340 0.340 0.000
Cl1 0.000 0.000 0.000
```

## Properties
* DOS(E_F): 1.6 states/eV per cell
* SG: No. 71
* volume: 29.69 A^3/atom



<three>
The following is a PBE-GGA calculation of an optimized crystal structure of Tl2Cl, from Alexandria.

Cell and atoms, written as CIF:
```
data_Tl2Cl
_space_group_name_H-M_alt 'P 1'
_space_group_IT_number 1
_cell_length_a 3.548
_cell_length_b 7.397
_cell_length_c 7.931
_cell_angle_alpha 90.00
_cell_angle_beta 90.00
_cell_angle_gamma 90.00
loop_
_space_group_symop_operation_xyz
'x,y,z'
loop_
_atom_site_label
_atom_site_fract_x
_atom_site_fract_y
_atom_site_fract_z
Cl1 0.500 0.500 0.500
Cl2 0.000 0.000 0.000
Tl1 0.000 0.816 0.350
Tl2 0.000 0.184 0.650
Tl3 0.500 0.684 0.850
Tl4 0.500 0.316 0.150
```

## Properties
* DOS(E_F): 2.2 states/eV per cell
* SG: No. 58
* volume: 34.69 A^3/atom



<four>
The following is a PBE-GGA calculation of an optimized crystal structure of Tl2Cl, from Alexandria.

Cell and atoms, written as CIF:
```
data_Tl2Cl
_space_group_name_H-M_alt 'P 1'
_space_group_IT_number 1
_cell_length_a 9.222
_cell_length_b 9.222
_cell_length_c 4.557
_cell_angle_alpha 90.00
_cell_angle_beta 90.00
_cell_angle_gamma 151.13
loop_
_space_group_symop_operation_xyz
'x,y,z'
loop_
_atom_site_label
_atom_site_fract_x
_atom_site_fract_y
_atom_site_fract_z
Tl1 0.578 0.422 0.750
Tl2 0.251 0.749 0.750
Tl3 0.749 0.251 0.250
Tl4 0.422 0.578 0.250
Cl1 0.099 0.901 0.250
Cl2 0.901 0.099 0.750
```

## Properties
* DOS(E_F): 2.0 states/eV per cell
* SG: No. 63
* volume: 31.18 A^3/atom



Which structure loses on stability? <one> does.



<one>
The following is a PBE-GGA calculation of an optimized crystal structure of Tl2Cl, from Alexandria.

Cell and atoms, written as CIF:
```
data_Tl2Cl
_space_group_name_H-M_alt 'P 1'
_space_group_IT_number 1
_cell_length_a 7.623
_cell_length_b 7.623
_cell_length_c 7.623
_cell_angle_alpha 90.00
_cell_angle_beta 90.00
_cell_angle_gamma 90.00
loop_
_space_group_symop_operation_xyz
'x,y,z'
loop_
_atom_site_label
_atom_site_fract_x
_atom_site_fract_y
_atom_site_fract_z
Cl1 0.500 0.000 0.500
Cl2 0.500 0.500 0.000
Cl3 0.000 0.500 0.500
Cl4 0.000 0.000 0.000
Tl1 0.146 0.646 0.146
Tl2 0.646 0.646 0.354
Tl3 0.354 0.354 0.646
Tl4 0.854 0.354 0.854
Tl5 0.854 0.146 0.354
Tl6 0.354 0.146 0.146
Tl7 0.646 0.854 0.854
Tl8 0.146 0.854 0.646
```

## Properties
* DOS(E_F): 8.5 states/eV per cell
* SG: No. 205
* volume: 36.92 A^3/atom



<two>
The following is a PBE-GGA calculation of an optimized crystal structure of Tl2Cl, from Alexandria.

Cell and atoms, written as CIF:
```
data_Tl2Cl
_space_group_name_H-M_alt 'P 1'
_space_group_IT_number 1
_cell_length_a 6.430
_cell_length_b 6.430
_cell_length_c 10.914
_cell_angle_alpha 90.00
_cell_angle_beta 90.00
_cell_angle_gamma 120.00
loop_
_space_group_symop_operation_xyz
'x,y,z'
loop_
_atom_site_label
_atom_site_fract_x
_atom_site_fract_y
_atom_site_fract_z
Tl1 0.171 0.829 0.750
Tl2 0.829 0.659 0.250
Tl3 0.000 0.000 0.500
Tl4 0.171 0.341 0.750
Tl5 0.659 0.829 0.750
Tl6 0.000 0.000 0.000
Tl7 0.341 0.171 0.250
Tl8 0.829 0.171 0.250
Cl1 0.333 0.667 0.431
Cl2 0.333 0.667 0.069
Cl3 0.667 0.333 0.569
Cl4 0.667 0.333 0.931
```

## Properties
* DOS(E_F): 2.9 states/eV per cell
* SG: No. 194
* volume: 32.57 A^3/atom



<three>
The following is a PBE-GGA calculation of an optimized crystal structure of Tl2Cl, from Alexandria.

Cell and atoms, written as CIF:
```
data_Tl2Cl
_space_group_name_H-M_alt 'P 1'
_space_group_IT_number 1
_cell_length_a 5.700
_cell_length_b 5.700
_cell_length_c 6.643
_cell_angle_alpha 90.00
_cell_angle_beta 90.00
_cell_angle_gamma 120.00
loop_
_space_group_symop_operation_xyz
'x,y,z'
loop_
_atom_site_label
_atom_site_fract_x
_atom_site_fract_y
_atom_site_fract_z
Cl1 0.333 0.667 0.250
Cl2 0.667 0.333 0.750
Tl1 0.000 0.000 0.000
Tl2 0.333 0.667 0.750
Tl3 0.000 0.000 0.500
Tl4 0.667 0.333 0.250
```

## Properties
* DOS(E_F): 2.5 states/eV per cell
* SG: No. 194
* volume: 31.15 A^3/atom



<four>
The following is a PBE-GGA calculation of an optimized crystal structure of Tl2Cl, from Alexandria.

Cell and atoms, written as CIF:
```
data_Tl2Cl
_space_group_name_H-M_alt 'P 1'
_space_group_IT_number 1
_cell_length_a 5.519
_cell_length_b 5.519
_cell_length_c 6.926
_cell_angle_alpha 90.00
_cell_angle_beta 90.00
_cell_angle_gamma 120.00
loop_
_space_group_symop_operation_xyz
'x,y,z'
loop_
_atom_site_label
_atom_site_fract_x
_atom_site_fract_y
_atom_site_fract_z
Tl1 0.333 0.667 0.500
Tl2 0.333 0.667 0.000
Tl3 0.667 0.333 0.500
Tl4 0.667 0.333 0.000
Cl1 0.000 0.000 0.750
Cl2 0.000 0.000 0.250
```

## Properties
* DOS(E_F): 3.3 states/eV per cell
* SG: No. 191
* volume: 30.45 A^3/atom



Which structure loses on stability? <four> does.